# 1
Entry from the Alexandria database: crystalline MnCoPb2 at its relaxed geometry (PBE-GGA).

a b c (Å): 8.6242 8.6242 8.6242
angles (deg): 22.54 22.54 22.54
Each line ends with the local moment (μB).
Element x y z (fractional)
Co (0.2500, 0.2500, 0.2500)  1.20
Mn (0.7500, 0.7500, 0.7500)  3.84
Pb (0.9928, 0.9928, 0.9928)  -0.04
Pb (0.5072, 0.5072, 0.5072)  -0.04

Output
ΔH_f (0 K), eV/f.u.: 2.3
E_tot, eV per atom: -5.36
M_tot, μB/cell: 5.1
Relative energy among the computed polymorphs, eV/atom: 0.303
SG: R-3m (166)


# 2
Entry from the Alexandria database: crystalline Al2VSn at its relaxed geometry (PBE-GGA).

a b c (Å): 4.4034 4.4035 5.3649
angles (deg): 65.77 65.77 60.00
Each line ends with the local moment (μB).
Element x y z (fractional)
Al (0.2206, 0.2206, 0.3381)  -0.01
Al (0.7794, 0.7794, 0.6619)  -0.01
Sn (0.0000, 0.0000, 0.0000)  -0.03
V (0.5000, 0.5000, 0.5000)  2.35

Output
ΔH_f (0 K), eV/f.u.: 1.4
E_tot, eV per atom: -4.79
M_tot, μB/cell: 2.8
SG: R-3m (166)